This record from Alexandria via LeMat-Bulk describes a relaxed structure of LaZnFeSbO6. The functional is PBE+U.

```
LaZnFeSbO6
1.0
5.609 0.000 0.000
0.000 5.463 0.034
0.000 5.438 8.200
O La Fe Zn Sb
12 2 2 2 2
Cartesian
3.911 7.437 6.305 O
2.478 1.811 0.635 O
1.698 4.718 2.205 O
4.660 3.223 1.895 O
0.062 9.310 7.556 O
0.374 3.763 4.364 O
0.949 5.942 5.995 O
3.074 9.828 7.761 O
5.236 1.044 0.264 O
5.548 6.591 3.456 O
2.536 7.109 3.661 O
3.131 4.530 4.735 O
1.610 8.243 6.173 La
4.000 5.524 2.073 La
1.361 5.468 0.063 Fe
4.248 8.188 4.163 Fe
1.187 2.706 2.322 Zn
4.422 5.425 6.422 Zn
1.422 5.446 4.110 Sb
4.187 8.165 8.210 Sb
```

Uncorrected energy in eV/cell: -129.7